one.
# MgBe3I, optimized geometry, DFT PBE-GGA
data_MgBe3I
_cell_length_a 4.9012
_cell_length_b 4.9012
_cell_length_c 4.9012
_cell_angle_alpha 90.00
_cell_angle_beta 90.00
_cell_angle_gamma 90.00
_space_group_name_H-M_alt 'P 1'
_space_group_IT_number 1
_space_group_name_Hall 'P 1'
loop_
_atom_site_label
_atom_site_fract_x
_atom_site_fract_y
_atom_site_fract_z
Be1 0.5000 0.0000 0.0000
Be2 0.0000 0.5000 0.0000
Be3 0.0000 0.0000 0.5000
Mg1 0.0000 0.0000 0.0000
I1 0.5000 0.5000 0.5000
# - V (Å³/atom) = 23.55
# - SG = Pm-3m

---

two.
# MgBe3I, optimized geometry, DFT PBE-GGA
data_MgBe3I
_cell_length_a 4.8230
_cell_length_b 4.8230
_cell_length_c 4.8230
_cell_angle_alpha 90.00
_cell_angle_beta 90.00
_cell_angle_gamma 90.00
_space_group_name_H-M_alt 'P 1'
_space_group_IT_number 1
_space_group_name_Hall 'P 1'
loop_
_atom_site_label
_atom_site_fract_x
_atom_site_fract_y
_atom_site_fract_z
Be1 0.5000 0.0000 0.0000
Be2 0.0000 0.0000 0.5000
Be3 0.0000 0.5000 0.0000
Mg1 0.5000 0.5000 0.5000
I1 0.0000 0.0000 0.0000
# - V (Å³/atom) = 22.44
# - SG = Pm-3m

---

Quick one: most stable of them? one

---

one.
# MgBe2I, optimized geometry, DFT PBE-GGA
data_MgBe2I
_cell_length_a 6.4128
_cell_length_b 6.4128
_cell_length_c 6.5851
_cell_angle_alpha 60.86
_cell_angle_beta 60.86
_cell_angle_gamma 90.00
_space_group_name_H-M_alt 'P 1'
_space_group_IT_number 1
_space_group_name_Hall 'P 1'
loop_
_atom_site_label
_atom_site_fract_x
_atom_site_fract_y
_atom_site_fract_z
Mg1 0.2500 0.7500 0.5000
Mg2 0.5000 0.5000 0.0000
Be1 0.1181 0.6250 0.2500
Be2 0.3750 0.3681 0.7500
Be3 0.8750 0.8819 0.7500
Be4 0.6319 0.1250 0.2500
I1 0.7500 0.2500 0.5000
I2 0.0000 0.0000 0.0000
# - V (Å³/atom) = 24.55
# - SG = I-42d

---

two.
# MgBe2I, optimized geometry, DFT PBE-GGA
data_MgBe2I
_cell_length_a 4.7334
_cell_length_b 4.7334
_cell_length_c 4.7334
_cell_angle_alpha 60.00
_cell_angle_beta 60.00
_cell_angle_gamma 60.00
_space_group_name_H-M_alt 'P 1'
_space_group_IT_number 1
_space_group_name_Hall 'P 1'
loop_
_atom_site_label
_atom_site_fract_x
_atom_site_fract_y
_atom_site_fract_z
I1 0.5000 0.5000 0.5000
Be1 0.2500 0.2500 0.2500
Be2 0.7500 0.7500 0.7500
Mg1 0.0000 0.0000 0.0000
# - V (Å³/atom) = 18.75
# - SG = Fm-3m

---

Quick one: most stable of them? one

---

one.
# Mg2Be2I, optimized geometry, DFT PBE-GGA
data_Mg2Be2I
_cell_length_a 7.2196
_cell_length_b 7.2196
_cell_length_c 3.6408
_cell_angle_alpha 90.00
_cell_angle_beta 90.00
_cell_angle_gamma 90.00
_space_group_name_H-M_alt 'P 1'
_space_group_IT_number 1
_space_group_name_Hall 'P 1'
loop_
_atom_site_label
_atom_site_fract_x
_atom_site_fract_y
_atom_site_fract_z
Mg1 0.1667 0.6667 0.5000
Mg2 0.6667 0.8333 0.5000
Mg3 0.8333 0.3333 0.5000
Mg4 0.3333 0.1667 0.5000
Be1 0.1056 0.3944 0.0000
Be2 0.6056 0.1056 0.0000
Be3 0.3944 0.8944 0.0000
Be4 0.8944 0.6056 0.0000
I1 0.0000 0.0000 0.0000
I2 0.5000 0.5000 0.0000
# - V (Å³/atom) = 18.98
# - SG = P4/mbm

---

two.
# Mg2Be2I, optimized geometry, DFT PBE-GGA
data_Mg2Be2I
_cell_length_a 4.2831
_cell_length_b 4.2831
_cell_length_c 6.3623
_cell_angle_alpha 70.33
_cell_angle_beta 70.33
_cell_angle_gamma 90.00
_space_group_name_H-M_alt 'P 1'
_space_group_IT_number 1
_space_group_name_Hall 'P 1'
loop_
_atom_site_label
_atom_site_fract_x
_atom_site_fract_y
_atom_site_fract_z
Mg1 0.2500 0.7500 0.5000
Mg2 0.7500 0.2500 0.5000
I1 0.0000 0.0000 0.0000
Be1 0.5946 0.5946 0.8109
Be2 0.4054 0.4054 0.1891
# - V (Å³/atom) = 20.53
# - SG = I4/mmm

---

Quick one: most stable of them? one